Density functional theory data (GGA-PBE) for crystalline Nd2MgPb at its relaxed geometry.

Its crystal system is orthorhombic. The value obtained for the spin magnetization is 0.00 μB/cell. The value obtained for the formation energy is -0.36 eV/atom.

The space group is Imma (No. 74) and the conventional cell measures 7.139, 8.907 and 7.423 Å, with angles of 90.00, 90.00 and 90.00 degrees. The distinct sites, in fractional coordinates, are Nd at (0.250, 0.019, 0.250), Mg at (0.000, 0.250, 0.531) and Pb at (0.000, 0.250, 0.968).